Computed, not measured: a geometry-optimized LiAc2LaS5 structure at the PBE level of DFT. Values from VASP.

Properties
Space group = Cmc2_1, No. 36
Crystal system = orthorhombic

Cell and atoms, written as Quantum ESPRESSO input:
```
&SYSTEM
  ibrav = 0, nat = 18, ntyp = 4
/
ATOMIC_SPECIES
Li 6.94 Li.upf
Ac 227.00 Ac.upf
La 138.91 La.upf
S 32.06 S.upf
CELL_PARAMETERS angstrom
2.108 -8.605 0.000
2.108 8.605 0.000
0.000 0.000 12.439
ATOMIC_POSITIONS crystal
Li 0.011 0.989 0.500
Li 0.989 0.011 0.000
Ac 0.380 0.620 0.315
Ac 0.388 0.612 0.699
Ac 0.612 0.388 0.199
Ac 0.620 0.380 0.815
La 0.305 0.695 0.015
La 0.695 0.305 0.515
S 0.004 0.996 0.303
S 0.137 0.863 0.016
S 0.196 0.804 0.357
S 0.206 0.794 0.674
S 0.458 0.542 0.082
S 0.542 0.458 0.582
S 0.794 0.206 0.174
S 0.804 0.196 0.857
S 0.863 0.137 0.516
S 0.996 0.004 0.803
```


Computed, not measured: a geometry-optimized SrNpHgI6 structure at the PBE level of DFT. Values from VASP.

Properties
Space group = P312, No. 149
DOS(E_F) = 4.177 states/eV per cell
Crystal system = trigonal

Cell and atoms, written as Quantum ESPRESSO input:
```
&SYSTEM
  ibrav = 0, nat = 9, ntyp = 4
/
ATOMIC_SPECIES
Sr 87.62 Sr.upf
Np 237.00 Np.upf
Hg 200.59 Hg.upf
I 126.90 I.upf
CELL_PARAMETERS angstrom
8.092 0.000 0.000
-4.046 7.008 0.000
0.000 0.000 9.140
ATOMIC_POSITIONS crystal
Sr 0.000 0.000 0.000
Np 0.333 0.667 0.000
Hg 0.667 0.333 0.500
I 0.036 0.360 0.194
I 0.036 0.676 0.806
I 0.324 0.360 0.806
I 0.324 0.964 0.194
I 0.640 0.676 0.194
I 0.640 0.964 0.806
```


Number 1: uncorrected formation energy -1754 kJ/mol of formula units, density 5.6 g/cm³. Number 2: uncorrected formation energy -855 kJ/mol of formula units, density 4.1 g/cm³.